(1)
This record from the Alexandria database describes an optimized crystal structure of Sr2MnGaB. The functional is PBE.

The structure in CIF format:
```
data_Sr2MnGaB
_cell_length_a 6.091
_cell_length_b 3.823
_cell_length_c 6.091
_cell_angle_alpha 90.00
_cell_angle_beta 90.00
_cell_angle_gamma 90.00
_space_group_name_H-M_alt 'P 1'
_space_group_IT_number 1
_space_group_name_Hall 'P 1'
loop_
_atom_site_label
_atom_site_type_symbol
_atom_site_fract_x
_atom_site_fract_y
_atom_site_fract_z
Sr1 Sr 0.000 0.000 0.500
Sr2 Sr 0.500 0.000 0.000
B1 B 0.000 0.500 0.000
Ga1 Ga 0.000 0.000 0.000
Mn1 Mn 0.500 0.500 0.500
```

Computed properties:
- E_form: 0.626 eV per atom
- Total energy: -3.82 eV/atom
- Magnetization: 3.87 μB/cell
- Space-group type: P4/mmm, No. 123

(2)
This record from the Alexandria database describes an optimized crystal structure of GaB3Mo. The functional is PBE.

The structure in CIF format:
```
data_GaB3Mo
_cell_length_a 3.933
_cell_length_b 3.933
_cell_length_c 3.933
_cell_angle_alpha 90.00
_cell_angle_beta 90.00
_cell_angle_gamma 90.00
_space_group_name_H-M_alt 'P 1'
_space_group_IT_number 1
_space_group_name_Hall 'P 1'
loop_
_atom_site_label
_atom_site_type_symbol
_atom_site_fract_x
_atom_site_fract_y
_atom_site_fract_z
B1 B 0.000 0.500 0.000
B2 B 0.500 0.000 0.000
B3 B 0.000 0.000 0.500
Mo1 Mo 0.500 0.500 0.500
Ga1 Ga 0.000 0.000 0.000
```

Computed properties:
- E_form: 2.045 eV per atom
- Total energy: -4.73 eV/atom
- Magnetization: 0.00 μB/cell
- Space-group type: Pm-3m, No. 221
- Relative energy among the computed polymorphs: 75.0 kJ per mole of atoms

(3)
This record from the Alexandria database describes an optimized crystal structure of GaBMo. The functional is PBE.

The structure in CIF format:
```
data_GaBMo
_cell_length_a 3.093
_cell_length_b 3.093
_cell_length_c 9.933
_cell_angle_alpha 98.96
_cell_angle_beta 98.96
_cell_angle_gamma 90.00
_space_group_name_H-M_alt 'P 1'
_space_group_IT_number 1
_space_group_name_Hall 'P 1'
loop_
_atom_site_label
_atom_site_type_symbol
_atom_site_fract_x
_atom_site_fract_y
_atom_site_fract_z
B1 B 0.312 0.312 0.624
B2 B 0.688 0.688 0.376
Mo1 Mo 0.197 0.197 0.394
Mo2 Mo 0.803 0.803 0.606
Ga1 Ga 0.428 0.428 0.855
Ga2 Ga 0.572 0.572 0.145
```

Computed properties:
- E_form: 0.005 eV per atom
- Total energy: -6.84 eV/atom
- Magnetization: 0.00 μB/cell
- Space-group type: I4/mmm, No. 139